Entry 1:
ZrBr, optimized geometry, DFT GGA-PBE; ΔE_f (raw) = -307 meV per atom; space group = C2/m
1.0
5.3440 -0.0144 -0.0034
3.8058 5.0365 0.0006
1.0617 0.3208 3.1760
Zr Br
2 2
Cartesian
2.7972 0.5850 0.7875
5.1179 2.5804 1.5918
7.7637 3.2869 2.4176
5.0188 5.2358 3.1383

---

Entry 2:
ZrBr, optimized geometry, DFT GGA-PBE; ΔE_f (raw) = -623 meV per atom; space group = P6_3/m
1.0
-3.2055 -9.6508 -0.3870
9.4231 2.3574 -3.0349
1.1621 -0.5146 3.2085
Zr Br
6 6
Cartesian
7.4443 -3.0543 -0.4022
6.3141 -0.2342 0.4595
-0.0645 -4.7538 0.1888
2.8826 -5.0026 -0.9185
4.4972 -2.8055 0.7051
1.0657 -7.5739 -0.6729
3.7331 -0.0600 1.4222
-1.6195 -7.0255 0.3877
5.5231 -5.2514 -0.0588
8.9993 -0.7826 -0.6010
3.6467 -7.7481 -1.6356
1.8567 -2.5567 -0.1546

---

Entry 3:
ZrBr, optimized geometry, DFT GGA-PBE; ΔE_f (raw) = -336 meV per atom; space group = P6_3/mmc
1.0
3.3180 0.0000 0.0000
-1.6590 2.8735 0.0000
0.0000 0.0000 9.1780
Zr Br
2 2
Cartesian
1.6590 0.9578 6.8835
0.0000 1.9157 2.2945
0.0000 0.0000 0.0000
0.0000 0.0000 4.5890

---

Entry 4:
ZrBr, optimized geometry, DFT GGA-PBE; ΔE_f (raw) = 137 meV per atom; space group = Fm-3m
1.0
5.5920 0.0000 0.0000
0.0000 5.5920 0.0000
0.0000 0.0000 5.5920
Zr Br
4 4
Cartesian
2.7960 0.0000 0.0000
0.0000 2.7960 0.0000
0.0000 0.0000 2.7960
2.7960 2.7960 2.7960
2.7960 0.0000 2.7960
0.0000 0.0000 0.0000
0.0000 2.7960 2.7960
2.7960 2.7960 0.0000

---

Entry 5:
ZrBr, optimized geometry, DFT GGA-PBE; ΔE_f (raw) = -374 meV per atom; space group = R-3m
1.0
4.9240 -0.0059 -0.0037
3.8097 3.1197 -0.0037
3.8097 1.3583 2.8085
Br Zr
1 1
Cartesian
0.0000 0.0000 0.0000
6.2717 2.2360 1.4006

---

Entry 6:
ZrBr, optimized geometry, DFT GGA-PBE; ΔE_f (raw) = -564 meV per atom; space group = Cm
1.0
1.6860 6.7073 0.0092
-1.6860 6.7073 0.0092
0.0000 3.2116 6.3381
Br Zr
3 3
Cartesian
0.0000 7.8437 4.8725
0.0000 5.3954 2.1492
0.0000 4.3321 5.9894
0.0000 1.3478 2.5031
0.0000 10.4151 3.7619
0.0000 9.9012 0.8346

---

Entry 7:
ZrBr, optimized geometry, DFT GGA-PBE; ΔE_f (raw) = -921 meV per atom; space group = P-3m1
1.0
3.4551 0.0000 0.0000
-1.7276 2.9922 0.0000
0.0000 0.0000 10.2510
Br Zr
2 2
Cartesian
0.0000 0.0000 9.5968
1.7276 0.9974 3.2169
0.0000 0.0000 5.1665
1.7276 0.9974 7.6473

---

Entry 8:
ZrBr, optimized geometry, DFT GGA-PBE; ΔE_f (raw) = 11 meV per atom; space group = I4_1/amd
1.0
6.4417 0.0017 0.0000
4.0685 4.9944 0.0000
-5.2551 -2.4980 2.7640
Zr Br
2 2
Cartesian
3.2209 0.0009 1.3820
5.2551 2.4980 0.0000
2.0342 2.4972 1.3820
0.0000 0.0000 0.0000

---

no.,theoretical density (Mg/m³),excess energy over the best structure of this formula in the dataset (meV per atom),calculated total energy (hartree per atom)
1,6.63,682,-0.199
2,5.51,366,-0.211
3,6.49,653,-0.200
4,6.50,1126,-0.183
5,6.57,615,-0.202
6,5.95,425,-0.209
7,5.36,68,-0.222
8,6.39,1000,-0.187